Compound: Ca2Ag2Ir
Source: Alexandria
Functional: PBE
Structure: relaxed

Unit cell a=7.1515 b=7.1515 c=4.4281 alpha=90.00 beta=90.00 gamma=90.00
Closest atoms and distances in Å follow each position.
Sites, in units of the cell vectors:
Ag (0.8654, 0.6346, 0.0000)  1 Ag 2.72, 2 Ir 2.78, 2 Ca 2.89
Ir (0.0000, 0.0000, 0.0000)  4 Ag 2.78
Ir (0.5000, 0.5000, 0.0000)  4 Ag 2.78
Ag (0.3654, 0.8654, 0.0000)  1 Ag 2.72, 2 Ir 2.78, 2 Ca 2.89
Ca (0.1820, 0.6820, 0.5000)  6 Ag 2.89-3.19
Ag (0.1346, 0.3654, 0.0000)  1 Ag 2.72, 2 Ir 2.78, 2 Ca 2.89
Ca (0.3180, 0.1820, 0.5000)  6 Ag 2.89-3.19
Ag (0.6346, 0.1346, 0.0000)  1 Ag 2.72, 2 Ir 2.78, 2 Ca 2.89
Ca (0.8180, 0.3180, 0.5000)  6 Ag 2.89-3.19
Ca (0.6820, 0.8180, 0.5000)  6 Ag 2.89-3.19

Summary:
Excess energy over the best structure of this formula in the dataset, meV per atom: 0.0
DOS(E_F), states/eV/f.u.: 2.2
Formation energy from the elements, kJ per mole of atoms: -7.41
Calculated total energy, eV per atom: -3.790
Size of the total moment, μB per atom: 0.00
Symmetry: P4/mbm (127)